1.
# Pa5Ge3

A relaxed Pa5Ge3 crystal (GGA-PBE, the Alexandria database).

a = 8.626 Å, b = 8.626 Å, c = 5.910 Å
α = 90.00°, β = 90.00°, γ = 120.00°
Atoms (fractional coordinates):
1 Ge 0.619 0.619 0.250
2 Ge 0.381 0.381 0.750
3 Pa 0.333 0.667 0.500
4 Pa 0.000 0.735 0.250
5 Pa 0.265 0.265 0.250
6 Pa 0.000 0.265 0.750
7 Ge 0.381 0.000 0.250
8 Pa 0.667 0.333 0.000
9 Ge 0.000 0.619 0.750
10 Ge 0.619 0.000 0.750
11 Pa 0.333 0.667 0.000
12 Pa 0.265 0.000 0.750
13 Ge 0.000 0.381 0.250
14 Pa 0.667 0.333 0.500
15 Pa 0.735 0.000 0.250
16 Pa 0.735 0.735 0.750

Calculated formation energy: -333 meV/atom

***

2.
# CrIrPt3

A relaxed CrIrPt3 crystal (GGA-PBE, the Alexandria database).

a = 4.807 Å, b = 4.807 Å, c = 4.807 Å
α = 90.00°, β = 90.00°, γ = 90.00°
Last column: magnetic moment on the atom in μB.
Atoms (fractional coordinates):
1 Cr 0.500 0.500 0.500  0.53
2 Pt 0.000 0.000 0.500  -0.28
3 Ir 0.000 0.000 0.000  -0.47
4 Pt 0.500 0.000 0.000  -0.02
5 Pt 0.000 0.500 0.000  -0.09

Calculated formation energy: 1803 meV/atom

***

3.
# Li2CoBiBr

A relaxed Li2CoBiBr crystal (GGA-PBE, the Alexandria database).

a = 5.371 Å, b = 5.893 Å, c = 5.371 Å
α = 90.00°, β = 90.00°, γ = 90.00°
Last column: magnetic moment on the atom in μB.
Atoms (fractional coordinates):
1 Co 0.500 0.500 0.500  2.39
2 Bi 0.000 0.000 0.000  0.06
3 Li 0.500 0.000 0.000  0.00
4 Br 0.000 0.500 0.000  0.04
5 Li 0.000 0.000 0.500  0.00

ΔE_f (raw): 3.07 eV per formula unit

***

4.
# Be2HgPd

A relaxed Be2HgPd crystal (GGA-PBE, the Alexandria database).

a = 4.118 Å, b = 4.118 Å, c = 8.364 Å
α = 75.75°, β = 75.75°, γ = 90.00°
Atoms (fractional coordinates):
1 Pd 0.500 0.500 0.000
2 Be 0.459 0.125 0.250
3 Pd 0.250 0.750 0.500
4 Be 0.375 0.541 0.750
5 Be 0.875 0.709 0.750
6 Hg 0.750 0.250 0.500
7 Be 0.291 0.625 0.250
8 Hg 0.000 0.000 0.000

Calculated formation energy: 312 meV/atom

***

5.
# Li3In2Hg2Au4

A relaxed Li3In2Hg2Au4 crystal (GGA-PBE, the Alexandria database).

a = 4.703 Å, b = 4.703 Å, c = 11.465 Å
α = 90.00°, β = 90.00°, γ = 120.00°
Atoms (fractional coordinates):
1 In 0.667 0.333 0.909
2 Li 0.000 0.000 0.000
3 Li 0.000 0.000 0.273
4 Li 0.000 0.000 0.727
5 Au 0.667 0.333 0.668
6 Hg 0.667 0.333 0.419
7 Hg 0.333 0.667 0.581
8 Au 0.333 0.667 0.840
9 In 0.333 0.667 0.091
10 Au 0.333 0.667 0.332
11 Au 0.667 0.333 0.160

Calculated formation energy: -307 meV/atom

***

6.
# PrYErCd

A relaxed PrYErCd crystal (GGA-PBE, the Alexandria database).

a = 5.516 Å, b = 5.516 Å, c = 5.516 Å
α = 60.00°, β = 60.00°, γ = 60.00°
Atoms (fractional coordinates):
1 Y 0.750 0.750 0.750
2 Cd 0.000 0.000 0.000
3 Er 0.500 0.500 0.500
4 Pr 0.250 0.250 0.250

Calculated formation energy: -40 meV/atom

***

7.
# Cu2Pt3

A relaxed Cu2Pt3 crystal (GGA-PBE, the Alexandria database).

a = 3.868 Å, b = 6.092 Å, c = 6.088 Å
α = 89.90°, β = 90.00°, γ = 90.00°
Atoms (fractional coordinates):
1 Pt 0.500 0.706 0.097
2 Cu 0.000 0.600 0.800
3 Pt 0.000 0.388 0.201
4 Cu 0.500 0.100 0.300
5 Pt 0.500 0.296 0.900
6 Pt 0.000 0.812 0.399
7 Pt 0.500 0.904 0.700
8 Cu 0.000 0.202 0.604
9 Pt 0.500 0.494 0.503
10 Cu 0.000 0.998 0.996

Calculated formation energy: -114 meV/atom

***

8.
# CeAl6Cu3

A relaxed CeAl6Cu3 crystal (GGA-PBE, the Alexandria database).

a = 4.119 Å, b = 9.239 Å, c = 9.153 Å
α = 76.30°, β = 90.00°, γ = 90.00°
Last column: magnetic moment on the atom in μB.
Atoms (fractional coordinates):
1 Cu 0.750 0.188 0.117  0.00
2 Al 0.750 0.785 0.038  0.00
3 Al 0.250 0.908 0.599  0.00
4 Al 0.750 0.364 0.482  0.00
5 Ce 0.250 0.928 0.224  0.40
6 Ce 0.750 0.072 0.776  0.40
7 Cu 0.750 0.395 0.846  0.00
8 Al 0.750 0.092 0.401  0.00
9 Al 0.250 0.215 0.962  0.00
10 Al 0.250 0.536 0.894  0.00
11 Cu 0.250 0.185 0.513  0.00
12 Al 0.750 0.642 0.318  0.00
13 Al 0.250 0.358 0.682  0.00
14 Al 0.750 0.709 0.759  0.00
15 Cu 0.250 0.605 0.154  0.00
16 Cu 0.250 0.812 0.883  0.00
17 Al 0.250 0.291 0.241  0.00
18 Al 0.750 0.464 0.106  0.00
19 Cu 0.750 0.815 0.487  0.00
20 Al 0.250 0.636 0.518  0.00

Calculated formation energy: -246 meV/atom

***

9.
# Sn3H2Rh7

A relaxed Sn3H2Rh7 crystal (GGA-PBE, the Alexandria database).

a = 3.934 Å, b = 4.060 Å, c = 10.425 Å
α = 101.23°, β = 90.00°, γ = 90.00°
Atoms (fractional coordinates):
1 Rh 0.500 0.903 0.807
2 Rh 0.000 0.201 0.403
3 Sn 0.500 0.309 0.618
4 H 0.000 0.101 0.202
5 Rh 0.000 0.000 0.000
6 Rh 0.500 0.097 0.193
7 H 0.000 0.899 0.798
8 Rh 0.000 0.598 0.197
9 Rh 0.000 0.799 0.597
10 Sn 0.500 0.500 0.000
11 Sn 0.500 0.691 0.382
12 Rh 0.000 0.402 0.803

DFT total energy: -6.161 eV/atom

***

10.
# CeZn2Cu10

A relaxed CeZn2Cu10 crystal (GGA-PBE, the Alexandria database).

a = 4.895 Å, b = 6.443 Å, c = 6.682 Å
α = 82.00°, β = 68.51°, γ = 67.67°
Last column: magnetic moment on the atom in μB.
Atoms (fractional coordinates):
1 Cu 0.722 0.776 0.779  0.00
2 Cu 0.644 0.362 0.350  0.00
3 Zn 0.000 0.000 0.500  0.00
4 Cu 0.278 0.224 0.221  0.00
5 Cu 0.502 0.776 0.221  0.00
6 Cu 0.000 0.500 0.000  0.00
7 Cu 0.994 0.362 0.650  0.00
8 Ce 0.000 0.000 0.000  0.60
9 Cu 0.356 0.638 0.650  0.00
10 Zn 0.500 0.000 0.500  0.00
11 Cu 0.006 0.638 0.350  0.00
12 Cu 0.498 0.224 0.779  0.00
13 Cu 0.500 0.500 0.000  0.00

Calculated formation energy: -66 meV/atom

***

11.
# Na2LaSi4

A relaxed Na2LaSi4 crystal (GGA-PBE, the Alexandria database).

a = 3.916 Å, b = 3.916 Å, c = 13.425 Å
α = 81.61°, β = 81.61°, γ = 60.00°
Atoms (fractional coordinates):
1 Si 0.739 0.739 0.784
2 Si 0.386 0.386 0.843
3 La 0.000 0.000 0.000
4 Na 0.126 0.126 0.622
5 Si 0.261 0.261 0.216
6 Si 0.614 0.614 0.157
7 Na 0.874 0.874 0.378

ΔE_f (raw): -1.54 eV per formula unit

***

12.
# TaNi4Pb

A relaxed TaNi4Pb crystal (GGA-PBE, the Alexandria database).

a = 4.886 Å, b = 4.886 Å, c = 4.886 Å
α = 60.00°, β = 60.00°, γ = 60.00°
Last column: magnetic moment on the atom in μB.
Atoms (fractional coordinates):
1 Ni 0.879 0.374 0.374  0.12
2 Ni 0.374 0.374 0.879  0.12
3 Ni 0.374 0.879 0.374  0.12
4 Ta 0.000 0.000 0.000  0.01
5 Ni 0.374 0.374 0.374  0.12
6 Pb 0.750 0.750 0.750  0.01

Calculated formation energy: 31 meV/atom

***

13.
# YThCd

A relaxed YThCd crystal (GGA-PBE, the Alexandria database).

a = 3.584 Å, b = 3.584 Å, c = 7.307 Å
α = 104.20°, β = 104.20°, γ = 90.00°
Atoms (fractional coordinates):
1 Th 0.328 0.328 0.657
2 Cd 0.660 0.660 0.320
3 Y 0.012 0.012 0.024

Calculated formation energy: -127 meV/atom

***

14.
# ZnTc2Os

A relaxed ZnTc2Os crystal (GGA-PBE, the Alexandria database).

a = 4.349 Å, b = 4.349 Å, c = 4.334 Å
α = 59.88°, β = 59.88°, γ = 60.00°
Atoms (fractional coordinates):
1 Tc 0.246 0.246 0.261
2 Os 0.747 0.747 0.760
3 Tc 0.009 0.009 0.972
4 Zn 0.498 0.498 0.506

Calculated formation energy: 263 meV/atom

***

15.
# Sm3Mg5Cd2

A relaxed Sm3Mg5Cd2 crystal (GGA-PBE, the Alexandria database).

a = 6.322 Å, b = 9.797 Å, c = 9.797 Å
α = 87.52°, β = 71.18°, γ = 71.18°
Atoms (fractional coordinates):
1 Mg 0.622 0.231 0.526
2 Sm 0.125 0.124 0.627
3 Mg 0.250 0.500 0.500
4 Sm 0.750 0.000 0.000
5 Mg 0.122 0.526 0.231
6 Sm 0.250 0.000 0.000
7 Cd 0.860 0.293 0.988
8 Mg 0.006 0.744 0.744
9 Mg 0.378 0.769 0.474
10 Cd 0.140 0.707 0.012
11 Sm 0.375 0.373 0.876
12 Mg 0.750 0.500 0.500
13 Mg 0.506 0.744 0.744
14 Cd 0.360 0.988 0.293
15 Cd 0.640 0.012 0.707
16 Mg 0.494 0.256 0.256
17 Mg 0.994 0.256 0.256
18 Sm 0.625 0.627 0.124
19 Mg 0.878 0.474 0.769
20 Sm 0.875 0.876 0.373

Calculated formation energy: -30 meV/atom

***

16.
# Tb2Be3GaIr4

A relaxed Tb2Be3GaIr4 crystal (GGA-PBE, the Alexandria database).

a = 4.089 Å, b = 4.089 Å, c = 9.477 Å
α = 90.00°, β = 90.00°, γ = 90.00°
Atoms (fractional coordinates):
1 Ir 0.500 0.500 0.000
2 Ga 0.500 0.500 0.500
3 Be 0.000 0.500 0.111
4 Ir 0.000 0.000 0.000
5 Ir 0.000 0.500 0.357
6 Be 0.500 0.000 0.889
7 Ir 0.500 0.000 0.643
8 Tb 0.000 0.500 0.767
9 Tb 0.500 0.000 0.233
10 Be 0.000 0.000 0.500

Calculated formation energy: -669 meV/atom

***

17.
# Pr3TlHg5

A relaxed Pr3TlHg5 crystal (GGA-PBE, the Alexandria database).

a = 6.608 Å, b = 9.255 Å, c = 9.254 Å
α = 120.00°, β = 90.00°, γ = 90.00°
Atoms (fractional coordinates):
1 Hg 0.000 0.667 0.333
2 Hg 0.750 0.666 0.666
3 Hg 0.250 0.334 0.334
4 Hg 0.250 0.000 0.666
5 Tl 0.500 0.000 0.000
6 Pr 0.250 0.336 0.000
7 Hg 0.250 0.666 0.000
8 Hg 0.750 0.334 0.000
9 Tl 0.000 0.000 0.000
10 Pr 0.750 0.000 0.664
11 Pr 0.750 0.664 0.000
12 Hg 0.750 0.000 0.334
13 Hg 0.500 0.333 0.667
14 Pr 0.750 0.336 0.336
15 Hg 0.500 0.667 0.333
16 Pr 0.250 0.664 0.664
17 Hg 0.000 0.333 0.667
18 Pr 0.250 0.000 0.336

Calculated formation energy: -439 meV/atom

***

18.
# SiPSe2

A relaxed SiPSe2 crystal (GGA-PBE, the Alexandria database).

a = 3.305 Å, b = 3.305 Å, c = 6.580 Å
α = 90.00°, β = 90.00°, γ = 90.00°
Atoms (fractional coordinates):
1 Si 0.500 0.500 0.250
2 Se 0.000 0.000 0.001
3 P 0.500 0.500 0.750
4 Se 0.000 0.000 0.499

ΔE_f (raw): 2.34 eV per formula unit

***

19.
# Cs2CdHgGe

A relaxed Cs2CdHgGe crystal (GGA-PBE, the Alexandria database).

a = 7.308 Å, b = 7.308 Å, c = 5.103 Å
α = 90.00°, β = 90.00°, γ = 90.00°
Atoms (fractional coordinates):
1 Cs 0.500 0.000 0.000
2 Cd 0.000 0.000 0.500
3 Cs 0.000 0.500 0.000
4 Ge 0.000 0.000 0.000
5 Hg 0.500 0.500 0.500

Calculated formation energy: 8 meV/atom

***

20.
# TaAlSe4

A relaxed TaAlSe4 crystal (GGA-PBE, the Alexandria database).

a = 5.562 Å, b = 5.562 Å, c = 5.562 Å
α = 60.00°, β = 60.00°, γ = 60.00°
Atoms (fractional coordinates):
1 Se 0.376 0.376 0.376
2 Se 0.871 0.376 0.376
3 Se 0.376 0.871 0.376
4 Al 0.000 0.000 0.000
5 Se 0.376 0.376 0.871
6 Ta 0.750 0.750 0.750

ΔE_f (raw): 5.64 eV per formula unit

***

21.
# MnAlTc2

A relaxed MnAlTc2 crystal (GGA-PBE, the Alexandria database).

a = 2.751 Å, b = 3.882 Å, c = 5.231 Å
α = 90.00°, β = 90.00°, γ = 90.00°
Last column: magnetic moment on the atom in μB.
Atoms (fractional coordinates):
1 Tc 0.500 0.500 0.248  -0.02
2 Tc 0.000 0.000 0.004  -0.32
3 Al 0.000 0.000 0.508  -0.03
4 Mn 0.500 0.500 0.740  2.29

Calculated formation energy: -93 meV/atom

***

22.
# CsBeSbS3

A relaxed CsBeSbS3 crystal (GGA-PBE, the Alexandria database).

a = 3.875 Å, b = 9.836 Å, c = 9.555 Å
α = 108.42°, β = 90.00°, γ = 90.00°
Atoms (fractional coordinates):
1 Sb 0.250 0.651 0.150
2 S 0.250 0.571 0.877
3 Sb 0.750 0.349 0.850
4 S 0.250 0.152 0.829
5 S 0.250 0.857 0.487
6 Be 0.250 0.080 0.593
7 Cs 0.750 0.824 0.780
8 Be 0.750 0.920 0.407
9 S 0.750 0.429 0.123
10 S 0.750 0.848 0.171
11 Cs 0.250 0.176 0.220
12 S 0.750 0.143 0.513

ΔE_f (raw): -4.72 eV per formula unit

***

23.
# TiPd5Pt8

A relaxed TiPd5Pt8 crystal (GGA-PBE, the Alexandria database).

a = 6.695 Å, b = 6.695 Å, c = 6.695 Å
α = 108.25°, β = 111.93°, γ = 108.25°
Atoms (fractional coordinates):
1 Ti 0.250 0.500 0.750
2 Pt 0.998 0.105 0.779
3 Pd 0.954 0.424 0.158
4 Pd 0.470 0.205 0.046
5 Pt 0.221 0.219 0.326
6 Pt 0.199 0.802 0.627
7 Pt 0.674 0.895 0.893
8 Pt 0.107 0.781 0.002
9 Pd 0.842 0.795 0.265
10 Pt 0.603 0.428 0.801
11 Pd 0.735 0.576 0.530
12 Pt 0.825 0.198 0.397
13 Pd 0.500 0.000 0.500
14 Pt 0.373 0.572 0.175

Calculated formation energy: -64 meV/atom